Material: NaMnPtI2
Method: DFT, PBEsol
State: relaxed

a b c (Å): 4.9531 5.4152 5.4152
angles (deg): 90.00 90.00 90.00
Sites, in units of the cell vectors:
I 0.0000 0.0000 0.5000
I 0.0000 0.5000 0.0000
Na 0.0000 0.0000 0.0000
Mn 0.5000 0.5000 0.5000
Pt 0.5000 0.0000 0.0000

Spin magnetization ... 4.868 μB/f.u.
Energy relative to the elements, uncorrected ... 1.02 eV/atom
Calculated density ... 6.02 g/cm3